1.
A plane-wave DFT calculation with PBEsol was carried out for a relaxed K14P16Pd9O56 crystal.

Cell: 18.7773 14.0016 12.1830 Å, 90.00 118.26 90.00°
With the nearest neighbours (Å) after each atom.
Space group Cm (No. 8)
Asymmetric unit:
K (0.0000, 0.0000, 0.0000) [2 per cell]  6 O 2.81-2.86
K (0.9998, 0.2566, 0.0006) [4 per cell]  8 O 2.71-2.86
K (0.1280, 0.2216, 0.5972) [4 per cell]  6 O 2.70-2.97
K (0.1464, 0.2725, 0.9158) [4 per cell]  5 O 2.61-2.90
K (0.1604, 0.0000, 0.9081) [2 per cell]  5 O 2.77-2.96
K (0.2501, 0.5000, 0.5005) [2 per cell]  6 O 2.77-3.05
K (0.3426, 0.5000, 0.0971) [2 per cell]  6 O 2.77-3.03
K (0.3518, 0.2259, 0.0844) [4 per cell]  5 O 2.60-2.84
K (0.3763, 0.2628, 0.4023) [4 per cell]  6 O 2.67-2.91
P (0.0218, 0.3981, 0.3060) [4 per cell]  4 O 1.52-1.62
P (0.0243, 0.1081, 0.2966) [4 per cell]  4 O 1.50-1.63
P (0.2093, 0.1038, 0.1952) [4 per cell]  4 O 1.51-1.62
P (0.2098, 0.3922, 0.1869) [4 per cell]  4 O 1.51-1.62
P (0.2883, 0.3949, 0.8046) [4 per cell]  4 O 1.50-1.63
P (0.2917, 0.1078, 0.8172) [4 per cell]  4 O 1.51-1.62
P (0.4730, 0.3922, 0.6995) [4 per cell]  4 O 1.49-1.63
P (0.4777, 0.1014, 0.6982) [4 per cell]  4 O 1.52-1.61
Pd (0.0651, 0.5000, 0.9553) [2 per cell]  4 O 2.01
Pd (0.1312, 0.5000, 0.7519) [2 per cell]  4 O 2.00-2.03
Pd (0.1583, 0.2496, 0.3383) [4 per cell]  4 O 1.98-2.02
Pd (0.3401, 0.2520, 0.6618) [4 per cell]  4 O 1.99-2.02
Pd (0.3674, 0.0000, 0.2500) [2 per cell]  4 O 1.99-2.04
Pd (0.4357, 0.0000, 0.0493) [2 per cell]  4 O 2.00-2.02
Pd (0.4980, 0.5000, 0.4975) [2 per cell]  4 O 1.99-2.00
O (0.0030, 0.3932, 0.8383) [4 per cell]  1 P 1.54
O (0.0165, 0.1666, 0.8149) [4 per cell]  1 P 1.49
O (0.0203, 0.1023, 0.6243) [4 per cell]  1 P 1.55
O (0.0253, 0.0000, 0.2474) [2 per cell]  2 P 1.63
O (0.0505, 0.3927, 0.6720) [4 per cell]  1 P 1.55
O (0.0659, 0.5000, 0.3584) [2 per cell]  2 P 1.62
O (0.0854, 0.3250, 0.3853) [4 per cell]  1 P 1.52
O (0.1133, 0.1352, 0.3821) [4 per cell]  1 P 1.54
O (0.1236, 0.3943, 0.0756) [4 per cell]  1 P 1.54
O (0.1317, 0.1259, 0.0787) [4 per cell]  1 P 1.51
O (0.2027, 0.0000, 0.2484) [2 per cell]  2 P 1.62
O (0.2098, 0.3674, 0.3105) [4 per cell]  1 P 1.55
O (0.2178, 0.4023, 0.8371) [4 per cell]  1 P 1.55
O (0.2330, 0.1621, 0.8467) [4 per cell]  1 P 1.51
O (0.2344, 0.1716, 0.3067) [4 per cell]  1 P 1.54
O (0.2459, 0.5000, 0.2117) [2 per cell]  2 P 1.62
O (0.2563, 0.0000, 0.7914) [2 per cell]  2 P 1.62
O (0.2617, 0.3323, 0.6874) [4 per cell]  1 P 1.54
O (0.2682, 0.3361, 0.1593) [4 per cell]  1 P 1.51
O (0.2812, 0.0973, 0.1648) [4 per cell]  1 P 1.56
O (0.2914, 0.1363, 0.6954) [4 per cell]  1 P 1.53
O (0.2955, 0.5000, 0.7526) [2 per cell]  2 P 1.63
O (0.3664, 0.3710, 0.9182) [4 per cell]  1 P 1.50
O (0.3779, 0.1055, 0.9293) [4 per cell]  1 P 1.55
O (0.3826, 0.3680, 0.6131) [4 per cell]  1 P 1.55
O (0.4158, 0.1768, 0.6214) [4 per cell]  1 P 1.52
O (0.4341, 0.0000, 0.6470) [2 per cell]  2 P 1.61
O (0.4488, 0.1075, 0.3310) [4 per cell]  1 P 1.54
O (0.4730, 0.5000, 0.7503) [2 per cell]  2 P 1.63
O (0.4762, 0.3981, 0.3711) [4 per cell]  1 P 1.56
O (0.4790, 0.3347, 0.1799) [4 per cell]  1 P 1.50
O (0.4981, 0.1069, 0.1668) [4 per cell]  1 P 1.54

Output
Crystal system: monoclinic

2.
A plane-wave DFT calculation with PBEsol was carried out for a relaxed Tl2InNi crystal.

Cell: 3.1795 3.1795 8.5956 Å, 90.00 90.00 90.00°
With the nearest neighbours (Å) after each atom.
Space group P4mm (No. 99)
Asymmetric unit:
Tl (0.0000, 0.0000, 0.0000) [1 per cell]  4 Ni 2.86, 4 Tl 3.18, 1 In 3.19
Tl (0.5000, 0.5000, 0.3224) [1 per cell]  4 Tl 3.18, 4 In 3.47
In (0.0000, 0.0000, 0.6293) [1 per cell]  4 Ni 2.66
Ni (0.5000, 0.5000, 0.7949) [1 per cell]  4 In 2.66, 4 Tl 2.86

Output
DFT formation energy (eV/atom): 0.09
Crystal system: tetragonal

3.
A plane-wave DFT calculation with PBEsol was carried out for a relaxed FeTc crystal.

Cell: 3.6232 3.6232 7.3001 Å, 90.00 90.00 90.00°
With the nearest neighbours (Å) after each atom.
Space group I4_1/amd (No. 141, origin choice 2)
Asymmetric unit:
Fe (0.0000, 0.2500, 0.3750) [4 per cell]  8 Tc 2.56-2.57, 4 Fe 2.57
Tc (0.0000, 0.2500, 0.8750) [4 per cell]  8 Fe 2.56-2.57, 4 Tc 2.57

Output
DFT formation energy (eV/atom): 0.09
Crystal system: tetragonal

4.
A plane-wave DFT calculation with PBEsol was carried out for a relaxed ZrHg2Cl crystal.

Cell: 4.4219 4.4219 8.3444 Å, 90.00 90.00 90.00°
With the nearest neighbours (Å) after each atom.
Space group I-4m2 (No. 119)
Asymmetric unit:
Zr (0.0000, 0.0000, 0.0000) [2 per cell]  8 Hg 3.04-3.13, 4 Cl 3.04
Hg (0.0000, 0.0000, 0.5000) [2 per cell]  4 Cl 3.04, 4 Hg 3.04, 4 Zr 3.13
Hg (0.0000, 0.5000, 0.7500) [2 per cell]  4 Zr 3.04, 4 Hg 3.04, 4 Cl 3.13
Cl (0.0000, 0.5000, 0.2500) [2 per cell]  8 Hg 3.04-3.13, 4 Zr 3.04

Output
Crystal system: tetragonal

5.
A plane-wave DFT calculation with PBEsol was carried out for a relaxed CuI crystal.

Cell: 4.0563 4.0563 14.3065 Å, 90.00 90.00 120.00°
With the nearest neighbours (Å) after each atom.
Space group P6_3mc (No. 186)
Asymmetric unit:
Cu (0.0000, 0.0000, 0.0000) [2 per cell]  4 I 2.56-2.64, 3 Cu 2.70
Cu (0.3333, 0.6667, 0.0940) [2 per cell]  4 I 2.57-2.64, 3 Cu 2.70
I (0.0000, 0.0000, 0.1792) [2 per cell]  4 Cu 2.56-2.64
I (0.3333, 0.6667, 0.9146) [2 per cell]  4 Cu 2.57-2.64

Output
Crystal system: hexagonal

6.
A plane-wave DFT calculation with PBEsol was carried out for a relaxed ZrSb2Ir crystal.

Cell: 9.8861 3.1173 5.6402 Å, 90.00 110.81 90.00°
With the nearest neighbours (Å) after each atom.
Space group C2/m (No. 12)
Asymmetric unit:
Zr (0.0000, 0.0000, 0.0000) [2 per cell]  6 Sb 3.02-3.04, 2 Zr 3.12, 4 Ir 3.22
Sb (0.2251, 0.0000, 0.7472) [4 per cell]  2 Ir 2.67
Ir (0.0000, 0.5000, 0.5000) [2 per cell]  4 Sb 2.67

Output
Polymorph energy (0 for the lowest one) (meV per atom): 226
Crystal system: monoclinic

7.
A plane-wave DFT calculation with PBEsol was carried out for a relaxed TiAgB2C crystal.

Cell: 3.6364 3.6364 3.9745 Å, 90.00 90.00 90.00°
With the nearest neighbours (Å) after each atom.
Space group P4/mmm (No. 123)
Asymmetric unit:
Ti (0.0000, 0.0000, 0.0000) [1 per cell]  2 C 1.99
Ag (0.5000, 0.5000, 0.0000) [1 per cell]  4 Ti 2.57, 8 B 2.69
B (0.0000, 0.5000, 0.5000) [2 per cell]  2 C 1.82
C (0.0000, 0.0000, 0.5000) [1 per cell]  4 B 1.82, 2 Ti 1.99

Output
DFT formation energy (eV/atom): 0.95
Crystal system: tetragonal

8.
A plane-wave DFT calculation with PBEsol was carried out for a relaxed BaTa2As crystal.

Cell: 3.4520 3.4520 7.4769 Å, 90.00 90.00 90.00°
With the nearest neighbours (Å) after each atom.
Space group P4/mmm (No. 123)
Asymmetric unit:
Ba (0.0000, 0.0000, 0.0000) [1 per cell]  4 Ba 3.45, 8 Ta 3.49, 2 As 3.74
Ta (0.5000, 0.5000, 0.3341) [2 per cell]  1 Ta 2.48, 4 As 2.74
As (0.0000, 0.0000, 0.5000) [1 per cell]  8 Ta 2.74

Output
DFT formation energy (eV/atom): 0.37
Crystal system: tetragonal

9.
A plane-wave DFT calculation with PBEsol was carried out for a relaxed TcSb2Pt crystal.

Cell: 6.4458 6.5539 3.3883 Å, 90.00 90.00 90.00°
With the nearest neighbours (Å) after each atom.
Space group Cmmm (No. 65)
Asymmetric unit:
Tc (0.0000, 0.0000, 0.0000) [2 per cell]  8 Sb 2.86
Sb (0.2500, 0.2500, 0.5000) [4 per cell]  4 Tc 2.86, 4 Pt 2.86
Pt (0.0000, 0.5000, 0.0000) [2 per cell]  8 Sb 2.86

Output
Polymorph energy (0 for the lowest one) (meV per atom): 13
Crystal system: orthorhombic

10.
A plane-wave DFT calculation with PBEsol was carried out for a relaxed KCoP crystal.

Cell: 2.9801 2.9801 11.7653 Å, 90.00 90.00 90.00°
With the nearest neighbours (Å) after each atom.
Space group I4mm (No. 107)
Asymmetric unit:
K (0.0000, 0.0000, 0.0000) [2 per cell]  4 K 2.98, 4 P 3.26, 1 Co 3.27
Co (0.0000, 0.0000, 0.2782) [2 per cell]  4 P 2.25
P (0.0000, 0.0000, 0.7115) [2 per cell]  4 Co 2.25

Output
DFT formation energy (eV/atom): -0.08
Crystal system: tetragonal

11.
A plane-wave DFT calculation with PBEsol was carried out for a relaxed CeNi crystal.

Cell: 3.4785 10.5190 4.1345 Å, 90.00 90.00 90.00°
With the nearest neighbours (Å) after each atom.
Space group Cmcm (No. 63)
Asymmetric unit:
Ce (0.0000, 0.1414, 0.2500) [4 per cell]  7 Ni 2.79-2.98
Ni (0.0000, 0.4250, 0.2500) [4 per cell]  2 Ni 2.60, 6 Ce 2.79-2.87

Output
DFT formation energy (eV/atom): -0.24
Crystal system: orthorhombic

12.
A plane-wave DFT calculation with PBEsol was carried out for a relaxed Zn4Br crystal.

Cell: 8.0201 8.0201 2.6892 Å, 90.00 90.00 90.00°
With the nearest neighbours (Å) after each atom.
Space group I4/m (No. 87)
Asymmetric unit:
Zn (0.1275, 0.3310, 0.0000) [8 per cell]  8 Zn 2.69-2.75, 1 Br 2.84
Br (0.0000, 0.0000, 0.0000) [2 per cell]  2 Br 2.69, 4 Zn 2.84

Output
Crystal system: tetragonal

| no. | total energy (eV for the cell shown) |
| --- | --- |
| 1 | -1277.3 |
| 2 | -14.1 |
| 3 | -80.2 |
| 4 | -26.0 |
| 5 | -25.4 |
| 6 | -57.1 |
| 7 | -30.5 |
| 8 | -30.9 |
| 9 | -53.7 |
| 10 | -29.8 |
| 11 | -53.0 |
| 12 | -15.5 |